(1)
Compound: LaCeEuTl
Source: the Alexandria database
Functional: PBE
Structure: optimized geometry

As for the volume: 128.4 Å³/f.u. The size of the total moment is 9.1 μB per formula unit. The energy of formation from the pure elements is -0.15 eV per formula unit. Its electronic total energy is -94.589 eV/cell.

The structure belongs to space group F-43m (No. 216); the cell edges are 8.0090, 8.0090 and 8.0090 Å and the angles 90.00°, 90.00° and 90.00°. The asymmetric unit holds La at (0.0000, 0.0000, 0.0000), Ce at (0.0000, 0.0000, 0.5000), Eu at (0.2500, 0.2500, 0.2500) and Tl at (0.2500, 0.2500, 0.7500).

(2)
Compound: LaCeEuY
Source: the Alexandria database
Functional: PBE
Structure: optimized geometry

As for the volume: 142.4 Å³/f.u. The size of the total moment is 9.5 μB per formula unit. The energy of formation from the pure elements is 0.94 eV per formula unit. Its electronic total energy is -106.656 eV/cell.

The structure belongs to space group F-43m (No. 216); the cell edges are 8.2887, 8.2887 and 8.2887 Å and the angles 90.00°, 90.00° and 90.00°. The asymmetric unit holds La at (0.0000, 0.0000, 0.0000), Ce at (0.2500, 0.2500, 0.7500), Eu at (0.2500, 0.2500, 0.2500) and Y at (0.0000, 0.0000, 0.5000).

(3)
Compound: LiCeEu
Source: the Alexandria database
Functional: PBE
Structure: optimized geometry

The value obtained for the energy above the most stable polymorph in this dataset is 0.030 eV per atom. As for the volume: 91.7 Å³/f.u. The size of the total moment is 6.2 μB per formula unit. The energy of formation from the pure elements is 0.77 eV per formula unit. Its electronic total energy is -34.695 eV/cell.

The structure belongs to space group I4mm (No. 107); the cell edges are 3.5226, 3.5226 and 14.7827 Å and the angles 90.00°, 90.00° and 90.00°. The asymmetric unit holds Li at (0.0000, 0.0000, 0.0000), Ce at (0.0000, 0.0000, 0.6496) and Eu at (0.0000, 0.0000, 0.3391).

(4)
Compound: LiCeEu2
Source: the Alexandria database
Functional: PBE
Structure: optimized geometry

The value obtained for the energy above the most stable polymorph in this dataset is 0.120 eV per atom. As for the volume: 132.3 Å³/f.u. The size of the total moment is 16.7 μB per formula unit. The energy of formation from the pure elements is 1.15 eV per formula unit. Its electronic total energy is -109.004 eV/cell.

The structure belongs to space group Fm-3m (No. 225); the cell edges are 8.0887, 8.0887 and 8.0887 Å and the angles 90.00°, 90.00° and 90.00°. The asymmetric unit holds Li at (0.0000, 0.0000, 0.0000), Ce at (0.0000, 0.0000, 0.5000) and Eu at (0.2500, 0.2500, 0.2500).

(5)
Compound: LiCeEu2
Source: the Alexandria database
Functional: PBE
Structure: optimized geometry

The value obtained for the energy above the most stable polymorph in this dataset is 0.000 eV per atom. As for the volume: 136.3 Å³/f.u. The size of the total moment is 16.9 μB per formula unit. The energy of formation from the pure elements is 0.66 eV per formula unit. Its electronic total energy is -27.733 eV/cell.

The structure belongs to space group P4/mmm (No. 123); the cell edges are 3.8490, 3.8490 and 9.2024 Å and the angles 90.00°, 90.00° and 90.00°. The asymmetric unit holds Li at (0.0000, 0.0000, 0.0000), Ce at (0.0000, 0.0000, 0.5000) and Eu at (0.5000, 0.5000, 0.2288).

(6)
Compound: LiCeEu2
Source: the Alexandria database
Functional: PBE
Structure: optimized geometry

The value obtained for the energy above the most stable polymorph in this dataset is 0.048 eV per atom. As for the volume: 133.8 Å³/f.u. The size of the total moment is 16.3 μB per formula unit. The energy of formation from the pure elements is 0.85 eV per formula unit. Its electronic total energy is -27.542 eV/cell.

The structure belongs to space group P4/mmm (No. 123); the cell edges are 5.9561, 5.9561 and 3.7711 Å and the angles 90.00°, 90.00° and 90.00°. The asymmetric unit holds Li at (0.0000, 0.0000, 0.0000), Ce at (0.5000, 0.5000, 0.0000) and Eu at (0.0000, 0.5000, 0.5000).

(7)
Compound: LiCeEu
Source: the Alexandria database
Functional: PBE
Structure: optimized geometry

The value obtained for the energy above the most stable polymorph in this dataset is 0.000 eV per atom. As for the volume: 92.1 Å³/f.u. The size of the total moment is 6.6 μB per formula unit. The energy of formation from the pure elements is 0.69 eV per formula unit. Its electronic total energy is -17.437 eV/cell.

The structure belongs to space group P3m1 (No. 156); the cell edges are 3.4932, 3.4932 and 8.7178 Å and the angles 90.00°, 90.00° and 120.00°. The asymmetric unit holds Li at (0.0000, 0.0000, 0.0000), Ce at (0.6667, 0.3333, 0.3162) and Eu at (0.3333, 0.6667, 0.6669).

(8)
Compound: LiCeEuMg
Source: the Alexandria database
Functional: PBE
Structure: optimized geometry

As for the volume: 120.5 Å³/f.u. The size of the total moment is 8.9 μB per formula unit. The energy of formation from the pure elements is 0.57 eV per formula unit. Its electronic total energy is -76.587 eV/cell.

The structure belongs to space group F-43m (No. 216); the cell edges are 7.8413, 7.8413 and 7.8413 Å and the angles 90.00°, 90.00° and 90.00°. The asymmetric unit holds Li at (0.0000, 0.0000, 0.0000), Ce at (0.2500, 0.2500, 0.2500), Eu at (0.2500, 0.2500, 0.7500) and Mg at (0.0000, 0.0000, 0.5000).

(9)
Compound: LiCeEuOs
Source: the Alexandria database
Functional: PBE
Structure: optimized geometry

As for the volume: 87.6 Å³/f.u. The size of the total moment is 7.4 μB per formula unit. The energy of formation from the pure elements is 0.20 eV per formula unit. Its electronic total energy is -116.595 eV/cell.

The structure belongs to space group F-43m (No. 216); the cell edges are 7.0507, 7.0507 and 7.0507 Å and the angles 90.00°, 90.00° and 90.00°. The asymmetric unit holds Li at (0.0000, 0.0000, 0.0000), Ce at (0.2500, 0.2500, 0.2500), Eu at (0.2500, 0.2500, 0.7500) and Os at (0.0000, 0.0000, 0.5000).

(10)
Compound: LiCeEuPb
Source: the Alexandria database
Functional: PBE
Structure: optimized geometry

As for the volume: 119.6 Å³/f.u. The size of the total moment is 8.7 μB per formula unit. The energy of formation from the pure elements is -0.85 eV per formula unit. Its electronic total energy is -90.722 eV/cell.

The structure belongs to space group F-43m (No. 216); the cell edges are 7.8200, 7.8200 and 7.8200 Å and the angles 90.00°, 90.00° and 90.00°. The asymmetric unit holds Li at (0.0000, 0.0000, 0.0000), Ce at (0.2500, 0.2500, 0.2500), Eu at (0.2500, 0.2500, 0.7500) and Pb at (0.0000, 0.0000, 0.5000).

(11)
Compound: LiCeEuPd
Source: the Alexandria database
Functional: PBE
Structure: optimized geometry

As for the volume: 98.2 Å³/f.u. The size of the total moment is 8.2 μB per formula unit. The energy of formation from the pure elements is -0.82 eV per formula unit. Its electronic total energy is -96.539 eV/cell.

The structure belongs to space group F-43m (No. 216); the cell edges are 7.3227, 7.3227 and 7.3227 Å and the angles 90.00°, 90.00° and 90.00°. The asymmetric unit holds Li at (0.0000, 0.0000, 0.0000), Ce at (0.2500, 0.2500, 0.7500), Eu at (0.2500, 0.2500, 0.2500) and Pd at (0.0000, 0.0000, 0.5000).

(12)
Compound: LiCeEuPt
Source: the Alexandria database
Functional: PBE
Structure: optimized geometry

As for the volume: 95.0 Å³/f.u. The size of the total moment is 7.9 μB per formula unit. The energy of formation from the pure elements is -1.73 eV per formula unit. Its electronic total energy is -103.581 eV/cell.

The structure belongs to space group F-43m (No. 216); the cell edges are 7.2433, 7.2433 and 7.2433 Å and the angles 90.00°, 90.00° and 90.00°. The asymmetric unit holds Li at (0.0000, 0.0000, 0.0000), Ce at (0.2500, 0.2500, 0.7500), Eu at (0.2500, 0.2500, 0.2500) and Pt at (0.0000, 0.0000, 0.5000).

(13)
Compound: LiCeEuRh
Source: the Alexandria database
Functional: PBE
Structure: optimized geometry

As for the volume: 91.7 Å³/f.u. The size of the total moment is 7.9 μB per formula unit. The energy of formation from the pure elements is -0.87 eV per formula unit. Its electronic total energy is -105.363 eV/cell.

The structure belongs to space group F-43m (No. 216); the cell edges are 7.1594, 7.1594 and 7.1594 Å and the angles 90.00°, 90.00° and 90.00°. The asymmetric unit holds Li at (0.0000, 0.0000, 0.0000), Ce at (0.2500, 0.2500, 0.2500), Eu at (0.2500, 0.2500, 0.7500) and Rh at (0.0000, 0.0000, 0.5000).

(14)
Compound: LiCeEuRu
Source: the Alexandria database
Functional: PBE
Structure: optimized geometry

As for the volume: 88.7 Å³/f.u. The size of the total moment is 7.5 μB per formula unit. The energy of formation from the pure elements is -0.02 eV per formula unit. Its electronic total energy is -109.659 eV/cell.

The structure belongs to space group F-43m (No. 216); the cell edges are 7.0798, 7.0798 and 7.0798 Å and the angles 90.00°, 90.00° and 90.00°. The asymmetric unit holds Li at (0.0000, 0.0000, 0.0000), Ce at (0.2500, 0.2500, 0.7500), Eu at (0.2500, 0.2500, 0.2500) and Ru at (0.0000, 0.0000, 0.5000).

(15)
Compound: LiCeEuSn
Source: the Alexandria database
Functional: PBE
Structure: optimized geometry

As for the volume: 115.0 Å³/f.u. The size of the total moment is 8.6 μB per formula unit. The energy of formation from the pure elements is -1.25 eV per formula unit. Its electronic total energy is -93.513 eV/cell.

The structure belongs to space group F-43m (No. 216); the cell edges are 7.7191, 7.7191 and 7.7191 Å and the angles 90.00°, 90.00° and 90.00°. The asymmetric unit holds Li at (0.0000, 0.0000, 0.0000), Ce at (0.2500, 0.2500, 0.7500), Eu at (0.2500, 0.2500, 0.2500) and Sn at (0.0000, 0.0000, 0.5000).